(1)
VAg2Rh2S6: optimized geometry, PBE-GGA.

Computed properties:
* SG: C2/m, No. 12
* magnetic moment: 1.1 μB/cell
* formation energy from raw total energies: -4.13 eV/f.u.

Structure (CIF):
```
data_VAg2Rh2S6
_chemical_formula_sum 'V1 Ag2 Rh2 S6'
_space_group_name_H-M_alt 'P 1'
_space_group_IT_number 1
_cell_length_a 5.8897
_cell_length_b 5.8897
_cell_length_c 8.2109
_cell_angle_alpha 107.94
_cell_angle_beta 107.94
_cell_angle_gamma 115.68
loop_
_space_group_symop_operation_xyz
'x,y,z'
loop_
_atom_site_label
_atom_site_type_symbol
_atom_site_fract_x
_atom_site_fract_y
_atom_site_fract_z
V1 V 0.0000 0.0000 0.5000
Ag1 Ag 0.8193 0.1807 0.0000
Ag2 Ag 0.1807 0.8193 0.0000
Rh1 Rh 0.3267 0.6733 0.5000
Rh2 Rh 0.6733 0.3267 0.5000
S1 S 0.8282 0.8282 0.6990
S2 S 0.1649 0.4970 0.6969
S3 S 0.1718 0.1718 0.3010
S4 S 0.4970 0.1649 0.6969
S5 S 0.8351 0.5030 0.3031
S6 S 0.5030 0.8351 0.3031
```

(2)
Ag2SbRh2: optimized geometry, PBE-GGA.

Computed properties:
* SG: P4/mbm, No. 127
* magnetic moment: 0.0 μB/cell
* formation energy from raw total energies: 0.06 eV/f.u.

Structure (CIF):
```
data_Ag2SbRh2
_chemical_formula_sum 'Ag4 Sb2 Rh4'
_space_group_name_H-M_alt 'P 1'
_space_group_IT_number 1
_cell_length_a 6.5152
_cell_length_b 6.5152
_cell_length_c 4.3751
_cell_angle_alpha 90.00
_cell_angle_beta 90.00
_cell_angle_gamma 90.00
loop_
_space_group_symop_operation_xyz
'x,y,z'
loop_
_atom_site_label
_atom_site_type_symbol
_atom_site_fract_x
_atom_site_fract_y
_atom_site_fract_z
Sb1 Sb 0.0000 0.0000 0.0000
Sb2 Sb 0.5000 0.5000 0.0000
Rh1 Rh 0.3595 0.8595 0.0000
Rh2 Rh 0.8595 0.6405 0.0000
Rh3 Rh 0.6405 0.1405 0.0000
Rh4 Rh 0.1405 0.3595 0.0000
Ag1 Ag 0.1585 0.6585 0.5000
Ag2 Ag 0.6585 0.8415 0.5000
Ag3 Ag 0.8415 0.3415 0.5000
Ag4 Ag 0.3415 0.1585 0.5000
```

> Which formula does entry 1 have?

VAg2Rh2S6

> formation energy from raw total energies of number 1 (VAg2Rh2S6)?

-4.13 eV/f.u.

> What is the formation energy from raw total energies in the first record?

-4.13 eV/f.u.